# Pm2Tm7Th2 (PBE, optimized geometry)
data_Pm2Tm7Th2
_cell_length_a 8.0716
_cell_length_b 8.0716
_cell_length_c 5.9640
_cell_angle_alpha 106.55
_cell_angle_beta 106.55
_cell_angle_gamma 91.18
_space_group_name_H-M_alt 'P 1'
_space_group_IT_number 1
loop_
_space_group_symop_operation_xyz
'x,y,z'
loop_
_atom_site_label
_atom_site_type_symbol
_atom_site_fract_x
_atom_site_fract_y
_atom_site_fract_z
Pm1 Pm 0.0947 0.0947 0.3089
Pm2 Pm 0.9053 0.9053 0.6911
Tm1 Tm 0.0910 0.5627 0.3277
Tm2 Tm 0.2670 0.2670 0.9194
Tm3 Tm 0.4373 0.9090 0.6723
Tm4 Tm 0.5000 0.5000 0.5000
Tm5 Tm 0.5627 0.0910 0.3277
Tm6 Tm 0.7330 0.7330 0.0806
Tm7 Tm 0.9090 0.4373 0.6723
Th1 Th 0.2937 0.7063 0.0000
Th2 Th 0.7063 0.2937 0.0000
# Formation energy ... 0.179 eV/atom
# Spin magnetization ... 0.00 μB/f.u.
# Calculated total energy ... -53.7 eV/f.u.

# ZrInBr2 (PBE, optimized geometry)
data_ZrInBr2
_cell_length_a 3.4040
_cell_length_b 4.8726
_cell_length_c 5.9382
_cell_angle_alpha 90.00
_cell_angle_beta 90.00
_cell_angle_gamma 90.00
_space_group_name_H-M_alt 'P 1'
_space_group_IT_number 1
loop_
_space_group_symop_operation_xyz
'x,y,z'
loop_
_atom_site_label
_atom_site_type_symbol
_atom_site_fract_x
_atom_site_fract_y
_atom_site_fract_z
Zr1 Zr 0.0000 0.0000 0.0000
In1 In 0.5000 0.0000 0.5000
Br1 Br 0.0000 0.5000 0.5000
Br2 Br 0.5000 0.5000 0.0000
# Formation energy (no corrections) ... -0.277 eV per atom
# Spin magnetization ... 0.01 μB/f.u.
# Calculated total energy ... -15.7 eV/f.u.

# V2SnIrW (PBE, optimized geometry)
data_V2SnIrW
_cell_length_a 4.5221
_cell_length_b 4.5221
_cell_length_c 5.1042
_cell_angle_alpha 90.00
_cell_angle_beta 90.00
_cell_angle_gamma 90.00
_space_group_name_H-M_alt 'P 1'
_space_group_IT_number 1
loop_
_space_group_symop_operation_xyz
'x,y,z'
loop_
_atom_site_label
_atom_site_type_symbol
_atom_site_fract_x
_atom_site_fract_y
_atom_site_fract_z
V1 V 0.0000 0.5000 0.0000
V2 V 0.5000 0.0000 0.0000
Sn1 Sn 0.0000 0.0000 0.5000
Ir1 Ir 0.5000 0.5000 0.5000
W1 W 0.0000 0.0000 0.0000
# Formation energy ... 1.573 eV/atom
# Spin magnetization ... 1.84 μB/f.u.
# Calculated total energy ... -36.2 eV/f.u.

# NaV2IrS8 (PBE, optimized geometry)
data_NaV2IrS8
_cell_length_a 8.4600
_cell_length_b 8.4600
_cell_length_c 8.4600
_cell_angle_alpha 42.85
_cell_angle_beta 42.85
_cell_angle_gamma 42.85
_space_group_name_H-M_alt 'P 1'
_space_group_IT_number 1
loop_
_space_group_symop_operation_xyz
'x,y,z'
loop_
_atom_site_label
_atom_site_type_symbol
_atom_site_fract_x
_atom_site_fract_y
_atom_site_fract_z
Na1 Na 0.0000 0.0000 0.0000
V1 V 0.2463 0.2463 0.2463
V2 V 0.7537 0.7537 0.7537
Ir1 Ir 0.5000 0.5000 0.5000
S1 S 0.1304 0.7589 0.4341
S2 S 0.2411 0.5659 0.8696
S3 S 0.3371 0.3371 0.3371
S4 S 0.4341 0.1304 0.7589
S5 S 0.5659 0.8696 0.2411
S6 S 0.6629 0.6629 0.6629
S7 S 0.7589 0.4341 0.1304
S8 S 0.8696 0.2411 0.5659
# Formation energy (no corrections) ... -0.401 eV per atom
# Spin magnetization ... 0.00 μB/f.u.
# Calculated total energy ... -66.2 eV/f.u.

# OsAuO2F (PBE, optimized geometry)
data_OsAuO2F
_cell_length_a 3.6643
_cell_length_b 3.6643
_cell_length_c 6.3822
_cell_angle_alpha 90.00
_cell_angle_beta 90.00
_cell_angle_gamma 90.00
_space_group_name_H-M_alt 'P 1'
_space_group_IT_number 1
loop_
_space_group_symop_operation_xyz
'x,y,z'
loop_
_atom_site_label
_atom_site_type_symbol
_atom_site_fract_x
_atom_site_fract_y
_atom_site_fract_z
Os1 Os 0.0000 0.0000 0.0000
Au1 Au 0.5000 0.5000 0.5000
O1 O 0.0000 0.5000 0.0000
O2 O 0.5000 0.0000 0.0000
F1 F 0.0000 0.0000 0.5000
# Formation energy (no corrections) ... -0.413 eV per atom
# Spin magnetization ... 0.00 μB/f.u.
# Calculated total energy ... -28.4 eV/f.u.

# InGa2Ag (PBE, optimized geometry)
data_InGa2Ag
_cell_length_a 10.1114
_cell_length_b 10.1114
_cell_length_c 10.1114
_cell_angle_alpha 156.08
_cell_angle_beta 156.08
_cell_angle_gamma 34.08
_space_group_name_H-M_alt 'P 1'
_space_group_IT_number 1
loop_
_space_group_symop_operation_xyz
'x,y,z'
loop_
_atom_site_label
_atom_site_type_symbol
_atom_site_fract_x
_atom_site_fract_y
_atom_site_fract_z
In1 In 0.0000 0.0000 0.0000
In2 In 0.7500 0.2500 0.5000
Ga1 Ga 0.1505 0.6250 0.0255
Ga2 Ga 0.3750 0.4005 0.5255
Ga3 Ga 0.5995 0.1250 0.9745
Ga4 Ga 0.8750 0.8495 0.4745
Ag1 Ag 0.2500 0.7500 0.5000
Ag2 Ag 0.5000 0.5000 0.0000
# Formation energy ... 0.083 eV/atom
# Spin magnetization ... 0.00 μB/f.u.
# Calculated total energy ... -11.3 eV/f.u.

What is the formula in the sixth record?
InGa2Ag

What is the formula in the fifth record?
OsAuO2F